Record 1
DFT (GGA-PBEsol) results for MnCdIr after structural relaxation.

Cell and atoms, written as extended XYZ:
```
3
Lattice="-0.695 -2.775 -3.214 -1.023 -4.088 0.871 -3.981 -1.434 -0.781" Properties=species:S:1:pos:R:3 pbc="T T T"
Cd -2.850 -4.148 -1.562
Ir -1.425 -2.074 -0.781
Mn 0.000 0.000 0.000
```

E_form = 557 meV per atom
V = 18.8 Å³ per atom
calculated density = 10.601 Mg/m³

***

Record 2
DFT (GGA-PBEsol) results for MnCd2Ir after structural relaxation.

Cell and atoms, written as extended XYZ:
```
4
Lattice="-0.807 -2.272 1.765 4.199 -2.188 -0.896 0.501 2.828 3.869" Properties=species:S:1:pos:R:3 pbc="T T T"
Cd 2.100 -1.094 -0.448
Cd 0.251 1.414 1.935
Ir -0.403 -1.136 0.883
Mn 1.947 -0.815 2.369
```

E_form = 271 meV per atom
V = 16.4 Å³ per atom
calculated density = 11.944 Mg/m³
distance to the lowest polymorph of the same formula = 0 meV per atom

***

Record 3
DFT (GGA-PBEsol) results for RbMn2CdIr after structural relaxation.

Cell and atoms, written as extended XYZ:
```
5
Lattice="4.986 0.000 0.000 0.000 4.986 0.000 0.000 0.000 5.558" Properties=species:S:1:pos:R:3 pbc="T T T"
Mn 0.000 2.493 0.000
Mn 2.493 0.000 0.000
Ir 2.493 2.493 2.779
Rb 0.000 0.000 2.779
Cd 0.000 0.000 0.000
```

E_form = 2062 meV per atom
V = 27.6 Å³ per atom
calculated density = 6.009 Mg/m³

***

Record 4
DFT (GGA-PBEsol) results for CdMoIr2 after structural relaxation.

Cell and atoms, written as extended XYZ:
```
4
Lattice="-2.563 -0.360 0.922 -0.254 -2.235 -1.578 2.849 -4.639 6.110" Properties=species:S:1:pos:R:3 pbc="T T T"
Cd 0.751 -4.814 4.304
Ir 0.045 -0.074 0.097
Ir -0.706 -2.441 1.178
Mo 1.366 -2.224 2.930
```

E_form = 158 meV per atom
V = 15.4 Å³ per atom
calculated density = 15.937 Mg/m³

***

Please write out number 1 again, unchanged.
DFT (GGA-PBEsol) results for MnCdIr after structural relaxation.

Cell and atoms, written as extended XYZ:
```
3
Lattice="-0.695 -2.775 -3.214 -1.023 -4.088 0.871 -3.981 -1.434 -0.781" Properties=species:S:1:pos:R:3 pbc="T T T"
Cd -2.850 -4.148 -1.562
Ir -1.425 -2.074 -0.781
Mn 0.000 0.000 0.000
```

E_form = 557 meV per atom
V = 18.8 Å³ per atom
calculated density = 10.601 Mg/m³

***

> The lowest calculated density belongs to which entry?

RbMn2CdIr

***

Please write out number 1 again, unchanged.
DFT (GGA-PBEsol) results for MnCdIr after structural relaxation.

Cell and atoms, written as extended XYZ:
```
3
Lattice="-0.695 -2.775 -3.214 -1.023 -4.088 0.871 -3.981 -1.434 -0.781" Properties=species:S:1:pos:R:3 pbc="T T T"
Cd -2.850 -4.148 -1.562
Ir -1.425 -2.074 -0.781
Mn 0.000 0.000 0.000
```

E_form = 557 meV per atom
V = 18.8 Å³ per atom
calculated density = 10.601 Mg/m³